Entry 1:
{"formula": "Li2InSnF8", "functional": "PBE", "state": "relaxed", "cell": [[-2.964, 1.918, 3.257], [-0.847, -4.394, 1.780], [5.251, 0.746, 4.339]], "species": ["In", "Li", "Li", "F", "F", "F", "F", "F", "F", "F", "F", "Sn"], "fractional_positions": [[0.000, 0.000, 0.000], [0.500, 0.500, 0.761], [0.500, 0.500, 0.239], [0.696, 0.696, 0.000], [0.691, 0.692, 0.500], [0.799, 0.201, 0.756], [0.201, 0.799, 0.756], [0.201, 0.799, 0.244], [0.309, 0.308, 0.500], [0.799, 0.201, 0.244], [0.304, 0.304, 0.000], [0.000, 0.000, 0.500]], "e_form_raw_kj_per_mol_atoms": -245.9}



Entry 2:
{"formula": "Tm6CuTe2", "functional": "PBE", "state": "relaxed", "cell": [[-0.998, 6.135, 0.445], [-5.950, -0.605, -5.008], [-6.197, -1.772, 7.577]], "species": ["Cu", "Cu", "Tm", "Tm", "Tm", "Tm", "Tm", "Tm", "Tm", "Tm", "Tm", "Tm", "Tm", "Tm", "Te", "Te", "Te", "Te"], "fractional_positions": [[0.500, 0.500, 0.000], [0.000, 0.000, 0.500], [0.862, 0.969, 0.243], [0.131, 0.299, 0.042], [0.362, 0.531, 0.743], [0.638, 0.469, 0.257], [0.631, 0.201, 0.542], [0.368, 0.827, 0.039], [0.868, 0.673, 0.539], [0.632, 0.173, 0.961], [0.369, 0.799, 0.458], [0.869, 0.701, 0.958], [0.132, 0.327, 0.461], [0.138, 0.031, 0.757], [0.395, 0.110, 0.260], [0.895, 0.390, 0.760], [0.105, 0.610, 0.240], [0.605, 0.890, 0.740]], "e_form_raw_kj_per_mol_atoms": -52.5}



Entry 3:
{"formula": "Pm5Sn2O", "functional": "PBE", "state": "relaxed", "cell": [[4.739, 0.000, 0.000], [-2.369, 8.472, 0.000], [0.000, 0.000, 12.839]], "species": ["Pm", "Pm", "Pm", "Pm", "Pm", "Pm", "Pm", "Pm", "Pm", "Pm", "Sn", "Sn", "Sn", "Sn", "O", "O"], "fractional_positions": [[0.698, 0.396, 0.566], [0.098, 0.196, 0.390], [0.098, 0.196, 0.110], [0.727, 0.454, 0.250], [0.902, 0.804, 0.610], [0.302, 0.604, 0.434], [0.273, 0.546, 0.750], [0.302, 0.604, 0.066], [0.902, 0.804, 0.890], [0.698, 0.396, 0.934], [0.088, 0.176, 0.640], [0.088, 0.176, 0.860], [0.912, 0.824, 0.360], [0.912, 0.824, 0.140], [0.808, 0.616, 0.750], [0.192, 0.384, 0.250]], "e_form_raw_kj_per_mol_atoms": -64.4}



Entry 4:
{"formula": "RbDy2Er", "functional": "PBE", "state": "relaxed", "cell": [[-2.465, -2.183, 1.450], [-2.451, -1.591, -2.099], [6.470, -11.530, -1.897]], "species": ["Er", "Dy", "Dy", "Rb"], "fractional_positions": [[0.500, 0.500, 0.500], [0.096, 0.096, 0.711], [0.904, 0.904, 0.289], [0.000, 0.000, 0.000]], "formation_energy_ev_per_atom": 0.300}



Entry 5:
{"formula": "Ca4DyAg5", "functional": "PBE", "state": "relaxed", "cell": [[-2.914, -1.405, -1.817], [-0.993, -1.875, 3.043], [-10.254, 14.243, 5.431]], "species": ["Ag", "Ag", "Ag", "Ag", "Ag", "Ca", "Ca", "Ca", "Ca", "Dy"], "fractional_positions": [[0.500, 0.500, 0.300], [0.500, 0.500, 0.909], [0.500, 0.500, 0.500], [0.500, 0.500, 0.091], [0.500, 0.500, 0.700], [0.000, 0.000, 0.400], [0.000, 0.000, 0.802], [0.000, 0.000, 0.600], [0.000, 0.000, 0.198], [0.000, 0.000, 0.000]], "formation_energy_ev_per_atom": -0.315}



Entry 6:
{"formula": "Th4CoRhS2", "functional": "PBE", "state": "relaxed", "cell": [[-3.801, -1.309, -0.093], [2.341, -6.627, -2.372], [1.216, -3.929, 5.593]], "species": ["Co", "Th", "Th", "Th", "Th", "Rh", "S", "S"], "fractional_positions": [[0.500, 0.500, 0.000], [0.500, 0.269, 0.755], [0.000, 0.274, 0.237], [0.500, 0.731, 0.245], [0.000, 0.726, 0.763], [0.000, 0.500, 0.500], [0.000, 0.000, 0.000], [0.500, 0.000, 0.500]], "e_form_raw_kj_per_mol_atoms": -109.6}